Entry 1:
Tl8IBr4Cl3 | PBE-GGA | optimized geometry

Results
Fermi-level density of states ... 0.00 states/eV/cell
E_tot ... -0.1077 Ha/atom
Theoretical density ... 6.02 g cm⁻³

Unit cell a=9.4891 b=9.4891 c=23.2383 alpha=90.00 beta=90.00 gamma=120.00
Space group R-3m (No. 166, hexagonal axes)
Symmetry-distinct sites (fractional):
Tl 0.0000 0.0000 0.2469 (multiplicity 6)
Tl 0.0123 0.5061 0.7509 (multiplicity 18)
I 0.0000 0.0000 0.5000 (multiplicity 3)
Br 0.0000 0.0000 0.0000 (multiplicity 3)
Br 0.0000 0.5000 0.0000 (multiplicity 9)
Cl 0.0000 0.5000 0.5000 (multiplicity 9)



Entry 2:
Tl4IBr2Cl | PBE-GGA | optimized geometry

Results
Fermi-level density of states ... 0.00 states/eV/cell
E_tot ... -0.1053 Ha/atom
Theoretical density ... 6.06 g cm⁻³

Unit cell a=8.3089 b=4.7959 c=8.3203 alpha=90.00 beta=109.52 gamma=90.00
Space group P2/m (No. 10)
Symmetry-distinct sites (fractional):
Tl 0.2449 0.0000 0.2339 (multiplicity 2)
Tl 0.2512 0.5000 0.7615 (multiplicity 2)
I 0.5000 0.5000 0.5000 (multiplicity 1)
Br 0.0000 0.0000 0.5000 (multiplicity 1)
Br 0.0000 0.5000 0.0000 (multiplicity 1)
Cl 0.5000 0.0000 0.0000 (multiplicity 1)



Entry 3:
Tl8I4BrCl3 | PBE-GGA | optimized geometry

Results
Fermi-level density of states ... 0.00 states/eV/cell
E_tot ... -0.1043 Ha/atom
Theoretical density ... 6.07 g cm⁻³

Unit cell a=9.6482 b=9.6482 c=23.6893 alpha=90.00 beta=90.00 gamma=120.00
Space group R-3m (No. 166, hexagonal axes)
Symmetry-distinct sites (fractional):
Tl 0.0000 0.0000 0.2414 (multiplicity 6)
Tl 0.0051 0.5026 0.7578 (multiplicity 18)
I 0.0000 0.0000 0.0000 (multiplicity 3)
I 0.0000 0.5000 0.0000 (multiplicity 9)
Br 0.0000 0.0000 0.5000 (multiplicity 3)
Cl 0.0000 0.5000 0.5000 (multiplicity 9)



Entry 4:
Tl4IBrCl2 | PBE-GGA | optimized geometry

Results
Fermi-level density of states ... 0.00 states/eV/cell
E_tot ... -0.1076 Ha/atom
Theoretical density ... 6.01 g cm⁻³

Unit cell a=8.2238 b=4.7417 c=8.2272 alpha=90.00 beta=109.47 gamma=90.00
Space group P2/m (No. 10)
Symmetry-distinct sites (fractional):
Tl 0.2360 0.0000 0.2281 (multiplicity 2)
Tl 0.2485 0.5000 0.7662 (multiplicity 2)
I 0.5000 0.5000 0.5000 (multiplicity 1)
Br 0.0000 0.0000 0.5000 (multiplicity 1)
Cl 0.0000 0.5000 0.0000 (multiplicity 1)
Cl 0.5000 0.0000 0.0000 (multiplicity 1)



Entry 5:
UIBrCl | PBE-GGA | optimized geometry

Results
Fermi-level density of states ... 9.38 states/eV/cell
E_tot ... -0.1946 Ha/atom
Theoretical density ... 5.05 g cm⁻³

Unit cell a=10.1373 b=3.9349 c=8.4636 alpha=90.00 beta=110.63 gamma=90.00
Space group Cm (No. 8)
Symmetry-distinct sites (fractional):
U 0.0000 0.0000 0.0000 (multiplicity 2)
I 0.4759 0.0000 0.7040 (multiplicity 2)
Br 0.1438 0.5000 0.2569 (multiplicity 2)
Cl 0.2903 0.0000 0.0003 (multiplicity 2)



Entry 6:
In4Br5Cl | PBE-GGA | optimized geometry

Results
Fermi-level density of states ... 0.05 states/eV/cell
E_tot ... -0.1023 Ha/atom
Theoretical density ... 3.85 g cm⁻³

Unit cell a=10.3739 b=10.5270 c=7.0621 alpha=90.00 beta=90.00 gamma=90.00
Space group Pmmn (No. 59, origin choice 2)
Symmetry-distinct sites (fractional):
In 0.0116 0.2500 0.0171 (multiplicity 4)
In 0.2500 0.5235 0.4586 (multiplicity 4)
Br 0.0395 0.0638 0.7499 (multiplicity 8)
Br 0.2500 0.7500 0.9016 (multiplicity 2)
Cl 0.2500 0.2500 0.1741 (multiplicity 2)



Entry 7:
In3Br5Cl | PBE-GGA | optimized geometry

Results
E_tot ... -0.1034 Ha/atom
Theoretical density ... 3.96 g cm⁻³

Unit cell a=10.5530 b=29.7453 c=4.1616 alpha=90.00 beta=90.00 gamma=90.00
Space group Cmmm (No. 65)
Symmetry-distinct sites (fractional):
In 0.0000 0.0000 0.0000 (multiplicity 2)
In 0.0000 0.1608 0.5000 (multiplicity 4)
In 0.0000 0.3306 0.0000 (multiplicity 4)
In 0.0000 0.5000 0.5000 (multiplicity 2)
Br 0.0000 0.2415 0.0000 (multiplicity 4)
Br 0.0000 0.4200 0.0000 (multiplicity 4)
Br 0.1771 0.0000 0.5000 (multiplicity 4)
Br 0.1779 0.3308 0.5000 (multiplicity 8)
Cl 0.0000 0.0839 0.0000 (multiplicity 4)



Entry 8:
In5Br2Cl3 | PBE-GGA | optimized geometry

Results
Fermi-level density of states ... 0.00 states/eV/cell
E_tot ... -0.1098 Ha/atom
Theoretical density ... 4.01 g cm⁻³

Unit cell a=16.2198 b=4.5504 c=11.7368 alpha=90.00 beta=126.49 gamma=90.00
Space group C2/m (No. 12)
Symmetry-distinct sites (fractional):
In 0.0000 0.0000 0.0000 (multiplicity 2)
In 0.0972 0.0000 0.4130 (multiplicity 4)
In 0.2090 0.5000 0.7961 (multiplicity 4)
Br 0.1392 0.5000 0.2530 (multiplicity 4)
Cl 0.0000 0.5000 0.5000 (multiplicity 2)
Cl 0.1178 0.0000 0.8554 (multiplicity 4)



Entry 9:
InBrCl3 | PBE-GGA | optimized geometry

Results
Fermi-level density of states ... 1.21 states/eV/cell
Distance to the lowest polymorph of the same formula ... 0.288 eV per atom
E_tot ... -0.0784 Ha/atom
Theoretical density ... 3.27 g cm⁻³

Unit cell a=5.3498 b=5.3498 c=5.3498 alpha=90.00 beta=90.00 gamma=90.00
Space group Pm-3m (No. 221)
Symmetry-distinct sites (fractional):
In 0.0000 0.0000 0.0000 (multiplicity 1)
Br 0.5000 0.5000 0.5000 (multiplicity 1)
Cl 0.0000 0.5000 0.5000 (multiplicity 3)



Entry 10:
InBrCl2 | PBE-GGA | optimized geometry

Results
Fermi-level density of states ... 1.90 states/eV/cell
Distance to the lowest polymorph of the same formula ... 0.735 eV per atom
E_tot ... -0.0820 Ha/atom
Theoretical density ... 4.19 g cm⁻³

Unit cell a=3.5164 b=3.5164 c=8.5162 alpha=90.00 beta=90.00 gamma=90.00
Space group P4mm (No. 99)
Symmetry-distinct sites (fractional):
In 0.0000 0.0000 0.0000 (multiplicity 1)
Br 0.5000 0.5000 0.2008 (multiplicity 1)
Cl 0.0000 0.0000 0.5011 (multiplicity 1)
Cl 0.5000 0.5000 0.8185 (multiplicity 1)



Entry 11:
In2Br2Cl | PBE-GGA | optimized geometry

Results
Fermi-level density of states ... 2.52 states/eV/cell
Distance to the lowest polymorph of the same formula ... 0.000 eV per atom
E_tot ... -0.1052 Ha/atom
Theoretical density ... 4.06 g cm⁻³

Unit cell a=5.3305 b=8.3413 c=8.2629 alpha=90.00 beta=108.73 gamma=90.00
Space group P2_1/m (No. 11)
Symmetry-distinct sites (fractional):
In 0.0117 0.2500 0.0241 (multiplicity 2)
In 0.3073 0.2500 0.6127 (multiplicity 2)
Br 0.1360 0.5136 0.2735 (multiplicity 4)
Cl 0.4932 0.7500 0.9858 (multiplicity 2)



Entry 12:
In4BrCl2 | PBE-GGA | optimized geometry

Results
Fermi-level density of states ... 4.09 states/eV/cell
E_tot ... -0.0996 Ha/atom
Theoretical density ... 3.19 g cm⁻³

Unit cell a=5.9997 b=5.9997 c=17.6375 alpha=90.00 beta=90.00 gamma=90.00
Space group I4/mmm (No. 139)
Symmetry-distinct sites (fractional):
In 0.0000 0.0000 0.2477 (multiplicity 4)
In 0.0000 0.5000 0.0000 (multiplicity 4)
Br 0.0000 0.0000 0.5000 (multiplicity 2)
Cl 0.0000 0.0000 0.0969 (multiplicity 4)



Entry 13:
In8BrCl6 | PBE-GGA | optimized geometry

Results
Fermi-level density of states ... 14.73 states/eV/cell
E_tot ... -0.1088 Ha/atom
Theoretical density ... 4.20 g cm⁻³

Unit cell a=10.2867 b=10.2867 c=15.6922 alpha=90.00 beta=90.00 gamma=120.00
Space group R-3 (No. 148, hexagonal axes)
Symmetry-distinct sites (fractional):
In 0.0000 0.0000 0.2414 (multiplicity 6)
In 0.0116 0.2648 0.6221 (multiplicity 18)
Br 0.0000 0.0000 0.5000 (multiplicity 3)
Cl 0.0432 0.2350 0.1310 (multiplicity 18)



Entry 14:
In5Br3Cl4 | PBE-GGA | optimized geometry

Results
E_tot ... -0.1084 Ha/atom
Theoretical density ... 3.90 g cm⁻³

Unit cell a=14.7682 b=5.3704 c=10.8905 alpha=90.00 beta=109.51 gamma=90.00
Space group C2/m (No. 12)
Symmetry-distinct sites (fractional):
In 0.0000 0.0000 0.0000 (multiplicity 2)
In 0.0982 0.5000 0.6776 (multiplicity 4)
In 0.1459 0.5000 0.3450 (multiplicity 4)
Br 0.0000 0.5000 0.0000 (multiplicity 2)
Br 0.1813 0.0000 0.1830 (multiplicity 4)
Cl 0.0707 0.0000 0.8206 (multiplicity 4)
Cl 0.1586 0.0000 0.5461 (multiplicity 4)



Entry 15:
In3Br2Cl4 | PBE-GGA | optimized geometry

Results
Fermi-level density of states ... 4.60 states/eV/cell
E_tot ... -0.1065 Ha/atom
Theoretical density ... 3.20 g cm⁻³

Unit cell a=11.1574 b=12.0991 c=10.2581 alpha=90.00 beta=104.40 gamma=90.00
Space group C2/c (No. 15)
Symmetry-distinct sites (fractional):
In 0.0000 0.0841 0.2500 (multiplicity 4)
In 0.1041 0.4521 0.3844 (multiplicity 8)
Br 0.1902 0.0522 0.0244 (multiplicity 8)
Cl 0.0412 0.3742 0.5851 (multiplicity 8)
Cl 0.1720 0.2836 0.2876 (multiplicity 8)



Entry 16:
InBrCl4 | PBE-GGA | optimized geometry

Results
Fermi-level density of states ... 0.00 states/eV/cell
Distance to the lowest polymorph of the same formula ... 0.000 eV per atom
E_tot ... -0.0989 Ha/atom
Theoretical density ... 2.55 g cm⁻³

Unit cell a=7.4414 b=18.0599 c=6.5634 alpha=90.00 beta=95.86 gamma=90.00
Space group C2/c (No. 15)
Symmetry-distinct sites (fractional):
In 0.0000 0.0516 0.2500 (multiplicity 4)
Br 0.0000 0.3482 0.7500 (multiplicity 4)
Cl 0.1872 0.1572 0.1131 (multiplicity 8)
Cl 0.1958 0.0463 0.5919 (multiplicity 8)



Entry 17:
In5Br3Cl2 | PBE-GGA | optimized geometry

Results
E_tot ... -0.1081 Ha/atom
Theoretical density ... 4.12 g cm⁻³

Unit cell a=15.4722 b=4.6683 c=11.3123 alpha=90.00 beta=119.28 gamma=90.00
Space group C2/m (No. 12)
Symmetry-distinct sites (fractional):
In 0.0000 0.0000 0.0000 (multiplicity 2)
In 0.0975 0.5000 0.3926 (multiplicity 4)
In 0.1978 0.0000 0.8117 (multiplicity 4)
Br 0.0000 0.0000 0.5000 (multiplicity 2)
Br 0.2076 0.0000 0.2995 (multiplicity 4)
Cl 0.0967 0.5000 0.9041 (multiplicity 4)



Entry 18:
InBrCl3 | PBE-GGA | optimized geometry

Results
Fermi-level density of states ... 8.31 states/eV/cell
Distance to the lowest polymorph of the same formula ... 0.000 eV per atom
E_tot ... -0.0890 Ha/atom
Theoretical density ... 3.63 g cm⁻³

Unit cell a=5.1629 b=5.1629 c=5.1629 alpha=90.00 beta=90.00 gamma=90.00
Space group Pm-3m (No. 221)
Symmetry-distinct sites (fractional):
In 0.0000 0.0000 0.0000 (multiplicity 1)
Br 0.5000 0.5000 0.5000 (multiplicity 1)
Cl 0.0000 0.0000 0.5000 (multiplicity 3)



Entry 19:
InBrCl2 | PBE-GGA | optimized geometry

Results
Distance to the lowest polymorph of the same formula ... 0.302 eV per atom
E_tot ... -0.0979 Ha/atom
Theoretical density ... 3.66 g cm⁻³

Unit cell a=3.5142 b=5.2530 c=13.0626 alpha=90.00 beta=90.00 gamma=90.00
Space group Imm2 (No. 44)
Symmetry-distinct sites (fractional):
In 0.0000 0.0000 0.0000 (multiplicity 2)
Br 0.0000 0.5000 0.6555 (multiplicity 2)
Cl 0.0000 0.0000 0.4982 (multiplicity 2)
Cl 0.0000 0.5000 0.3577 (multiplicity 2)



Entry 20:
InBrCl2 | PBE-GGA | optimized geometry

Results
Fermi-level density of states ... 0.00 states/eV/cell
Distance to the lowest polymorph of the same formula ... 0.000 eV per atom
E_tot ... -0.1090 Ha/atom
Theoretical density ... 3.58 g cm⁻³

Unit cell a=7.6887 b=10.9934 c=6.8227 alpha=90.00 beta=121.23 gamma=90.00
Space group Cc (No. 9)
Symmetry-distinct sites (fractional):
In 0.0000 0.0874 0.0000 (multiplicity 4)
Br 0.2847 0.4034 0.7100 (multiplicity 4)
Cl 0.1745 0.2869 0.1565 (multiplicity 4)
Cl 0.2215 0.0632 0.8203 (multiplicity 4)



Entry 21:
In5BrCl4 | PBE-GGA | optimized geometry

Results
Fermi-level density of states ... 0.00 states/eV/cell
E_tot ... -0.1116 Ha/atom
Theoretical density ... 3.86 g cm⁻³

Unit cell a=10.2642 b=10.2642 c=6.4997 alpha=90.00 beta=90.00 gamma=90.00
Space group I4/m (No. 87)
Symmetry-distinct sites (fractional):
In 0.0000 0.0000 0.0000 (multiplicity 2)
In 0.1054 0.3074 0.5000 (multiplicity 8)
Br 0.0000 0.0000 0.5000 (multiplicity 2)
Cl 0.1080 0.2956 0.0000 (multiplicity 8)



Entry 22:
In2Br2Cl | PBE-GGA | optimized geometry

Results
Fermi-level density of states ... 5.03 states/eV/cell
Distance to the lowest polymorph of the same formula ... 0.257 eV per atom
E_tot ... -0.0957 Ha/atom
Theoretical density ... 4.10 g cm⁻³

Unit cell a=5.6554 b=5.6554 c=10.7547 alpha=90.00 beta=90.00 gamma=90.00
Space group I4/mmm (No. 139)
Symmetry-distinct sites (fractional):
In 0.0000 0.5000 0.2500 (multiplicity 4)
Br 0.0000 0.0000 0.1625 (multiplicity 4)
Cl 0.0000 0.0000 0.5000 (multiplicity 2)